1.
Density functional theory data (PBE) for a relaxed structure of Ti4CuNi12.

Properties
For the total energy, the calculation gives -6.42 eV per atom. For the energy relative to the elements, the calculation gives -244 meV per atom.

a = 6.4634 Å, b = 6.4634 Å, c = 6.4634 Å
α = 109.47°, β = 109.47°, γ = 109.47°
With the nearest neighbours (Å) after each atom.
Sites, in units of the cell vectors:
Ni1 0.5000 0.2500 0.7500  8 Ni 2.39-2.64, 4 Ti 2.64
Ti1 0.5000 0.5000 0.5000  12 Ni 2.64-2.66
Ni2 0.2500 0.7500 0.5000  8 Ni 2.39-2.64, 4 Ti 2.64
Ti2 0.0000 0.0000 0.5000  12 Ni 2.64-2.66
Ti3 0.5000 0.0000 0.0000  12 Ni 2.64-2.66
Cu1 0.0000 0.0000 0.0000  6 Ni 2.23
Ni3 0.0000 0.2994 0.2994  1 Cu 2.23, 4 Ni 2.39
Ni4 0.7500 0.2500 0.5000  8 Ni 2.39-2.64, 4 Ti 2.64
Ni5 0.5000 0.7500 0.2500  8 Ni 2.39-2.64, 4 Ti 2.64
Ti4 0.0000 0.5000 0.0000  12 Ni 2.64-2.66
Ni6 0.2500 0.5000 0.7500  8 Ni 2.39-2.64, 4 Ti 2.64
Ni7 0.2994 0.0000 0.2994  1 Cu 2.23, 4 Ni 2.39
Ni8 0.7006 0.7006 0.0000  1 Cu 2.23, 4 Ni 2.39
Ni9 0.7500 0.5000 0.2500  8 Ni 2.39-2.64, 4 Ti 2.64
Ni10 0.7006 0.0000 0.7006  1 Cu 2.23, 4 Ni 2.39
Ni11 0.0000 0.7006 0.7006  1 Cu 2.23, 4 Ni 2.39
Ni12 0.2994 0.2994 0.0000  1 Cu 2.23, 4 Ni 2.39

2.
Density functional theory data (PBE) for a relaxed structure of ScAg.

Properties
For the total energy, the calculation gives -4.66 eV per atom. For the energy relative to the elements, the calculation gives -71 meV per atom.

a = 11.0418 Å, b = 8.4238 Å, c = 7.5344 Å
α = 90.00°, β = 90.00°, γ = 90.00°
With the nearest neighbours (Å) after each atom.
Sites, in units of the cell vectors:
Sc1 0.5000 0.3028 0.0000  6 Ag 2.84-2.91
Ag1 0.2500 0.2500 0.0647  1 Ag 2.79, 6 Sc 2.84-2.91
Sc2 0.0000 0.3028 0.5000  6 Ag 2.84-2.91
Sc3 0.2500 0.9472 0.2500  6 Ag 2.84-2.91
Ag2 0.5000 0.5000 0.3147  1 Ag 2.79, 6 Sc 2.84-2.91
Ag3 0.0000 0.0000 0.3147  1 Ag 2.79, 6 Sc 2.84-2.91
Sc4 0.5000 0.1972 0.5000  6 Ag 2.84-2.91
Ag4 0.2500 0.7500 0.9353  1 Ag 2.79, 6 Sc 2.84-2.91
Sc5 0.7500 0.9472 0.7500  6 Ag 2.84-2.91
Ag5 0.2500 0.7500 0.5647  1 Ag 2.79, 6 Sc 2.84-2.91
Ag6 0.0000 0.5000 0.1853  1 Ag 2.79, 6 Sc 2.84-2.91
Sc6 0.2500 0.4472 0.7500  6 Ag 2.84-2.91
Sc7 0.7500 0.0528 0.2500  6 Ag 2.84-2.91
Ag7 0.5000 0.5000 0.6853  1 Ag 2.79, 6 Sc 2.84-2.91
Ag8 0.5000 0.0000 0.8147  1 Ag 2.79, 6 Sc 2.84-2.91
Ag9 0.7500 0.2500 0.9353  1 Ag 2.79, 6 Sc 2.84-2.91
Sc8 0.2500 0.5528 0.2500  6 Ag 2.84-2.91
Ag10 0.0000 0.0000 0.6853  1 Ag 2.79, 6 Sc 2.84-2.91
Ag11 0.7500 0.7500 0.4353  1 Ag 2.79, 6 Sc 2.84-2.91
Ag12 0.7500 0.2500 0.5647  1 Ag 2.79, 6 Sc 2.84-2.91
Ag13 0.5000 0.0000 0.1853  1 Ag 2.79, 6 Sc 2.84-2.91
Sc9 0.0000 0.1972 0.0000  6 Ag 2.84-2.91
Sc10 0.0000 0.6972 0.5000  6 Ag 2.84-2.91
Ag14 0.2500 0.2500 0.4353  1 Ag 2.79, 6 Sc 2.84-2.91
Sc11 0.7500 0.4472 0.2500  6 Ag 2.84-2.91
Ag15 0.7500 0.7500 0.0647  1 Ag 2.79, 6 Sc 2.84-2.91
Sc12 0.5000 0.6972 0.0000  6 Ag 2.84-2.91
Ag16 0.0000 0.5000 0.8147  1 Ag 2.79, 6 Sc 2.84-2.91
Sc13 0.2500 0.0528 0.7500  6 Ag 2.84-2.91
Sc14 0.5000 0.8028 0.5000  6 Ag 2.84-2.91
Sc15 0.0000 0.8028 0.0000  6 Ag 2.84-2.91
Sc16 0.7500 0.5528 0.7500  6 Ag 2.84-2.91

3.
Density functional theory data (PBE) for a relaxed structure of Cd2ReS2.

Properties
For the total energy, the calculation gives -3.61 eV per atom. Its uncorrected formation energy is 0.8953 eV/atom.

a = 7.4739 Å, b = 7.4739 Å, c = 3.4805 Å
α = 90.00°, β = 90.00°, γ = 90.00°
With the nearest neighbours (Å) after each atom.
Sites, in units of the cell vectors:
Re1 0.5000 0.5000 0.0000  4 Cd 2.88
S1 0.8336 0.3336 0.5000  6 Cd 2.68-2.89
Cd1 0.3590 0.8590 0.0000  6 S 2.68-2.89, 2 Re 2.88, 1 Cd 2.98
S2 0.1664 0.6664 0.5000  6 Cd 2.68-2.89
Cd2 0.6410 0.1410 0.0000  6 S 2.68-2.89, 2 Re 2.88, 1 Cd 2.98
S3 0.3336 0.1664 0.5000  6 Cd 2.68-2.89
S4 0.6664 0.8336 0.5000  6 Cd 2.68-2.89
Re2 0.0000 0.0000 0.0000  4 Cd 2.88
Cd3 0.1410 0.3590 0.0000  6 S 2.68-2.89, 2 Re 2.88, 1 Cd 2.98
Cd4 0.8590 0.6410 0.0000  6 S 2.68-2.89, 2 Re 2.88, 1 Cd 2.98

4.
Density functional theory data (PBE) for a relaxed structure of Sc3Sb2P.

Properties
For the total energy, the calculation gives -6.53 eV per atom. Its uncorrected formation energy is -1.0886 eV/atom.

a = 7.0010 Å, b = 7.0010 Å, c = 12.6276 Å
α = 100.73°, β = 100.73°, γ = 109.16°
With the nearest neighbours (Å) after each atom.
Sites, in units of the cell vectors:
Sc1 0.2225 0.2225 0.0000  2 P 2.69, 4 Sb 2.86-2.95
Sc2 0.6606 0.1396 0.8236  2 P 2.69-2.74, 4 Sb 2.89-2.98
Sc3 0.4725 0.9725 0.5000  2 P 2.69, 4 Sb 2.86-2.95
Sb1 0.5797 0.5797 0.1594  6 Sc 2.89-2.98
Sb2 0.4203 0.4203 0.8406  6 Sc 2.89-2.98
P1 0.0836 0.0836 0.1671  6 Sc 2.69-2.74
Sb3 0.9972 0.4972 0.9944  6 Sc 2.86-2.95
P2 0.3336 0.8336 0.6671  6 Sc 2.69-2.74
Sb4 0.2528 0.2528 0.5056  6 Sc 2.86-2.95
Sc4 0.8604 0.3394 0.1764  2 P 2.69-2.74, 4 Sb 2.89-2.98
Sc5 0.3160 0.8370 0.1764  2 P 2.69-2.74, 4 Sb 2.89-2.98
Sc6 0.9340 0.9130 0.3236  2 P 2.69-2.74, 4 Sb 2.89-2.98
Sb5 0.6703 0.1703 0.3406  6 Sc 2.89-2.98
Sc7 0.3896 0.4106 0.3236  2 P 2.69-2.74, 4 Sb 2.89-2.98
Sc8 0.5894 0.6104 0.6764  2 P 2.69-2.74, 4 Sb 2.89-2.98
Sc9 0.0275 0.5275 0.5000  2 P 2.69, 4 Sb 2.86-2.95
Sc10 0.1630 0.6840 0.8236  2 P 2.69-2.74, 4 Sb 2.89-2.98
P3 0.9164 0.9164 0.8329  6 Sc 2.69-2.74
Sb6 0.5028 0.0028 0.0056  6 Sc 2.86-2.95
Sb7 0.7472 0.7472 0.4944  6 Sc 2.86-2.95
Sc11 0.0870 0.0660 0.6764  2 P 2.69-2.74, 4 Sb 2.89-2.98
P4 0.1664 0.6664 0.3329  6 Sc 2.69-2.74
Sb8 0.8297 0.3297 0.6594  6 Sc 2.89-2.98
Sc12 0.7775 0.7775 0.0000  2 P 2.69, 4 Sb 2.86-2.95